# AlNiSn2 GGA-PBE optimized geometry
data_AlNiSn2
_chemical_formula_sum 'Al4 Ni4 Sn8'
_symmetry_space_group_name_H-M 'I -4 2 d'
_symmetry_Int_Tables_number 122
_symmetry_space_group_name_Hall 'I -4 2bw'
_cell_length_a 4.572
_cell_length_b 4.572
_cell_length_c 16.814
_cell_angle_alpha 90.00
_cell_angle_beta 90.00
_cell_angle_gamma 90.00
loop_
_atom_site_label
_atom_site_fract_x
_atom_site_fract_y
_atom_site_fract_z
Al1 0.000 0.000 0.000
Ni1 0.000 0.000 0.500
Sn1 0.212 0.250 0.625
# ΔE_f = 178 meV/atom
# V = 21.96 Å³ per atom

---

# LiY2In9 GGA-PBE optimized geometry
data_LiY2In9
_chemical_formula_sum 'Li1 Y2 In9'
_symmetry_space_group_name_H-M 'P 4/m m m'
_symmetry_Int_Tables_number 123
_symmetry_space_group_name_Hall '-P 4 2'
_cell_length_a 4.625
_cell_length_b 4.625
_cell_length_c 13.816
_cell_angle_alpha 90.00
_cell_angle_beta 90.00
_cell_angle_gamma 90.00
loop_
_atom_site_label
_atom_site_fract_x
_atom_site_fract_y
_atom_site_fract_z
Li1 0.000 0.000 0.000
Y1 0.000 0.000 0.330
In1 0.000 0.500 0.158
In2 0.000 0.500 0.500
In3 0.500 0.500 0.000
In4 0.500 0.500 0.333
# ΔE_f = -316 meV/atom
# V = 24.63 Å³ per atom

---

# Ba3Y4O9 GGA-PBE optimized geometry
data_Ba3Y4O9
_chemical_formula_sum 'Ba9 Y12 O27'
_symmetry_space_group_name_H-M 'R 3'
_symmetry_Int_Tables_number 146
_symmetry_space_group_name_Hall 'R 3'
_cell_length_a 6.1606
_cell_length_b 6.1606
_cell_length_c 25.6862
_cell_angle_alpha 90.00
_cell_angle_beta 90.00
_cell_angle_gamma 120.00
loop_
_atom_site_label
_atom_site_fract_x
_atom_site_fract_y
_atom_site_fract_z
Ba1 0.0000 0.0000 0.0000
Ba2 0.0000 0.0000 0.1665
Ba3 0.0000 0.0000 0.5856
Y1 0.0000 0.0000 0.3012
Y2 0.0000 0.0000 0.4268
Y3 0.0000 0.0000 0.7395
Y4 0.0000 0.0000 0.8648
O1 0.0006 0.5651 0.5831
O2 0.0135 0.4452 0.0266
O3 0.1087 0.3484 0.4721
# V = 17.59 Å³ per atom
# Formation energy from raw total energies = -72.52 kcal/mol of atoms

---

# HfBeC3 GGA-PBE optimized geometry
data_HfBeC3
_chemical_formula_sum 'Hf1 Be1 C3'
_symmetry_space_group_name_H-M 'P m -3 m'
_symmetry_Int_Tables_number 221
_symmetry_space_group_name_Hall '-P 4 2 3'
_cell_length_a 4.252
_cell_length_b 4.252
_cell_length_c 4.252
_cell_angle_alpha 90.00
_cell_angle_beta 90.00
_cell_angle_gamma 90.00
loop_
_atom_site_label
_atom_site_fract_x
_atom_site_fract_y
_atom_site_fract_z
Hf1 0.000 0.000 0.000
Be1 0.500 0.500 0.500
C1 0.000 0.000 0.500
# ΔE_f = 2432 meV/atom
# V = 15.37 Å³ per atom
# Energy relative to the lowest polymorph listed for this composition = 1133.0 meV/atom

---

# CuPd6Au GGA-PBE optimized geometry
data_CuPd6Au
_chemical_formula_sum 'Cu1 Pd6 Au1'
_symmetry_space_group_name_H-M 'P 4/m m m'
_symmetry_Int_Tables_number 123
_symmetry_space_group_name_Hall '-P 4 2'
_cell_length_a 3.954
_cell_length_b 3.954
_cell_length_c 7.873
_cell_angle_alpha 90.00
_cell_angle_beta 90.00
_cell_angle_gamma 90.00
loop_
_atom_site_label
_atom_site_fract_x
_atom_site_fract_y
_atom_site_fract_z
Cu1 0.000 0.000 0.000
Pd1 0.000 0.500 0.240
Pd2 0.500 0.500 0.000
Pd3 0.500 0.500 0.500
Au1 0.000 0.000 0.500
# ΔE_f = -56 meV/atom
# V = 15.38 Å³ per atom
# Energy relative to the lowest polymorph listed for this composition = 0.0 meV/atom

---

# BaSrSe2 GGA-PBE optimized geometry
data_BaSrSe2
_chemical_formula_sum 'Ba4 Sr4 Se8'
_symmetry_space_group_name_H-M 'F m -3 m'
_symmetry_Int_Tables_number 225
_symmetry_space_group_name_Hall '-F 4 2 3'
_cell_length_a 7.844
_cell_length_b 7.844
_cell_length_c 7.844
_cell_angle_alpha 90.00
_cell_angle_beta 90.00
_cell_angle_gamma 90.00
loop_
_atom_site_label
_atom_site_fract_x
_atom_site_fract_y
_atom_site_fract_z
Ba1 0.000 0.000 0.000
Sr1 0.000 0.000 0.500
Se1 0.250 0.250 0.250
# V = 30.16 Å³ per atom
# Energy relative to the lowest polymorph listed for this composition = 240.4 meV/atom
# Formation energy from raw total energies = -41.74 kcal/mol of atoms

---

# InRh2Pb GGA-PBE optimized geometry
data_InRh2Pb
_chemical_formula_sum 'In1 Rh2 Pb1'
_symmetry_space_group_name_H-M 'P 4 m m'
_symmetry_Int_Tables_number 99
_symmetry_space_group_name_Hall 'P 4 -2'
_cell_length_a 3.655
_cell_length_b 3.655
_cell_length_c 5.736
_cell_angle_alpha 90.00
_cell_angle_beta 90.00
_cell_angle_gamma 90.00
loop_
_atom_site_label
_atom_site_fract_x
_atom_site_fract_y
_atom_site_fract_z
In1 0.000 0.000 0.000
Rh1 0.000 0.000 0.523
Rh2 0.500 0.500 0.846
Pb1 0.500 0.500 0.351
# ΔE_f = -1 meV/atom
# V = 19.15 Å³ per atom

---

# MnTlOs2 GGA-PBE optimized geometry
data_MnTlOs2
_chemical_formula_sum 'Mn2 Tl2 Os4'
_symmetry_space_group_name_H-M 'C m m m'
_symmetry_Int_Tables_number 65
_symmetry_space_group_name_Hall '-C 2 2'
_cell_length_a 5.597
_cell_length_b 7.711
_cell_length_c 2.970
_cell_angle_alpha 90.00
_cell_angle_beta 90.00
_cell_angle_gamma 90.00
loop_
_atom_site_label
_atom_site_fract_x
_atom_site_fract_y
_atom_site_fract_z
Mn1 0.000 0.000 0.000
Tl1 0.000 0.500 0.000
Os1 0.250 0.250 0.500
# ΔE_f = 877 meV/atom
# V = 16.02 Å³ per atom
# Energy relative to the lowest polymorph listed for this composition = 392.2 meV/atom

---

Q: What is the formula in the seventh record?
A: InRh2Pb